No. 1
The following is a PBE calculation of GdGaNO after structural relaxation, from OQMD.

abc: 4.905 4.905 4.605
angles: 90.00 90.00 90.00
Fractional coordinates of all 8 atoms:
Gd 0.250 0.750 0.000
Gd 0.750 0.250 0.000
Ga 0.250 0.250 0.487
Ga 0.750 0.750 0.513
N 0.250 0.250 0.045
N 0.750 0.750 0.955
O 0.250 0.750 0.500
O 0.750 0.250 0.500

Properties
Symmetry = P4/nmm (129)
Energy above the most stable polymorph in this dataset = 108 meV/atom
E = -6.602 eV/atom

***

No. 2
The following is a PBE calculation of GdGaNO after structural relaxation, from OQMD.

abc: 3.946 5.808 5.264
angles: 90.00 90.00 90.00
Fractional coordinates of all 8 atoms:
Gd 0.000 0.213 0.000
Gd 0.000 0.787 0.500
Ga 0.500 0.305 0.500
Ga 0.500 0.695 0.000
N 0.500 0.380 0.861
N 0.500 0.620 0.361
O 0.000 0.173 0.442
O 0.000 0.827 0.942

Properties
Symmetry = Pmc2_1 (26)
Energy above the most stable polymorph in this dataset = 73 meV/atom
E = -6.637 eV/atom

***

No. 3
The following is a PBE calculation of NaGdGa after structural relaxation, from OQMD.

abc: 6.991 6.991 6.991
angles: 90.00 90.00 90.00
Fractional coordinates of all 12 atoms:
Na 0.000 0.000 0.000
Na 0.000 0.500 0.500
Na 0.500 0.000 0.500
Na 0.500 0.500 0.000
Gd 0.000 0.000 0.500
Gd 0.000 0.500 0.000
Gd 0.500 0.000 0.000
Gd 0.500 0.500 0.500
Ga 0.250 0.250 0.750
Ga 0.250 0.750 0.250
Ga 0.750 0.250 0.250
Ga 0.750 0.750 0.750

Properties
Symmetry = F-43m (216)
Energy above the most stable polymorph in this dataset = 0 meV/atom
E = -2.975 eV/atom

***

No. 4
The following is a PBE calculation of NaGdGa after structural relaxation, from OQMD.

abc: 7.036 7.036 7.036
angles: 90.00 90.00 90.00
Fractional coordinates of all 12 atoms:
Na 0.000 0.000 0.000
Na 0.000 0.500 0.500
Na 0.500 0.000 0.500
Na 0.500 0.500 0.000
Gd 0.250 0.250 0.750
Gd 0.250 0.750 0.250
Gd 0.750 0.250 0.250
Gd 0.750 0.750 0.750
Ga 0.000 0.000 0.500
Ga 0.000 0.500 0.000
Ga 0.500 0.000 0.000
Ga 0.500 0.500 0.500

Properties
Symmetry = F-43m (216)
Energy above the most stable polymorph in this dataset = 335 meV/atom
E = -2.640 eV/atom

***

No. 5
The following is a PBE calculation of GdNbGa after structural relaxation, from OQMD.

abc: 6.565 6.565 6.565
angles: 90.00 90.00 90.00
Fractional coordinates of all 12 atoms:
Gd 0.000 0.000 0.000
Gd 0.000 0.500 0.500
Gd 0.500 0.000 0.500
Gd 0.500 0.500 0.000
Nb 0.000 0.000 0.500
Nb 0.000 0.500 0.000
Nb 0.500 0.000 0.000
Nb 0.500 0.500 0.500
Ga 0.250 0.250 0.250
Ga 0.250 0.750 0.750
Ga 0.750 0.250 0.750
Ga 0.750 0.750 0.250

Properties
Symmetry = F-43m (216)
Energy above the most stable polymorph in this dataset = 0 meV/atom
E = -5.727 eV/atom

***

No. 6
The following is a PBE calculation of NdGdGa after structural relaxation, from OQMD.

abc: 7.148 7.148 7.148
angles: 90.00 90.00 90.00
Fractional coordinates of all 12 atoms:
Nd 0.000 0.000 0.000
Nd 0.000 0.500 0.500
Nd 0.500 0.000 0.500
Nd 0.500 0.500 0.000
Gd 0.000 0.000 0.500
Gd 0.000 0.500 0.000
Gd 0.500 0.000 0.000
Gd 0.500 0.500 0.500
Ga 0.250 0.250 0.750
Ga 0.250 0.750 0.250
Ga 0.750 0.250 0.250
Ga 0.750 0.750 0.750

Properties
Symmetry = F-43m (216)
Energy above the most stable polymorph in this dataset = 0 meV/atom
E = -4.386 eV/atom

***

No. 7
The following is a PBE calculation of NdGdGa2 after structural relaxation, from OQMD.

abc: 4.133 4.429 11.158
angles: 90.00 90.00 90.00
Fractional coordinates of all 8 atoms:
Nd 0.000 0.000 0.000
Nd 0.000 0.500 0.500
Gd 0.500 0.000 0.280
Gd 0.500 0.500 0.780
Ga 0.000 0.000 0.716
Ga 0.000 0.500 0.216
Ga 0.500 0.000 0.570
Ga 0.500 0.500 0.070

Properties
Symmetry = Amm2 (38)
E = -4.474 eV/atom

***

No. 8
The following is a PBE calculation of NdGd2Ga3Ni3 after structural relaxation, from OQMD.

abc: 3.823 7.124 7.124
angles: 119.83 90.00 90.00
Fractional coordinates of all 9 atoms:
Nd 0.000 0.000 0.000
Gd 0.000 0.170 0.584
Gd 0.000 0.584 0.170
Ga 0.500 0.347 0.347
Ga 0.500 0.579 0.825
Ga 0.500 0.825 0.579
Ni 0.000 0.583 0.583
Ni 0.500 0.255 0.916
Ni 0.500 0.916 0.255

Properties
Symmetry = Amm2 (38)
E = -5.025 eV/atom